First-principles (meta-GGA SCAN) data for a crystal of Y2ReSe relaxed with PBEsol, as listed in Alexandria via LeMat-Bulk.

The space group is F-43m (No. 216) and the conventional cell measures 6.796, 6.796 and 6.796 Å, with angles of 90.00, 90.00 and 90.00 degrees. The asymmetric unit holds Y at (0.000, 0.000, 0.000), Y at (0.250, 0.250, 0.250), Re at (0.250, 0.250, 0.750) and Se at (0.000, 0.000, 0.500).

The energy relative to the elements, uncorrected is 0.161 eV per atom. As for the raw total energy: -36.55 eV/atom.